This record from the Alexandria database describes a relaxed structure of NaCrF3. The functional is PBE with a Hubbard U.

```
data_NaCrF3
_symmetry_space_group_name_H-M 'C 1 2/m 1'
_symmetry_Int_Tables_number 12
_cell_length_a 13.938
_cell_length_b 3.176
_cell_length_c 6.709
_cell_angle_alpha 90.00
_cell_angle_beta 98.21
_cell_angle_gamma 90.00
loop_
_symmetry_equiv_pos_as_xyz
'x,y,z'
'-x,-y,-z'
'-x,y,-z'
'x,-y,z'
'x+1/2,y+1/2,z'
'-x+1/2,-y+1/2,-z'
'-x+1/2,y+1/2,-z'
'x+1/2,-y+1/2,z'
loop_
_atom_site_label
_atom_site_fract_x
_atom_site_fract_y
_atom_site_fract_z
Na1 0.158 0.000 0.369
Cr1 0.095 0.500 0.851
F1 0.009 0.000 0.739
F2 0.157 0.000 0.019
F3 0.176 0.500 0.599
```

M_tot in Bohr magnetons per cell: 16.000
Fermi-level density of states in states/eV per cell: 0.00
Energy above the most stable polymorph in this dataset in meV per atom: 66.5
E_tot in eV per formula unit: -27.206